HgAs | the Alexandria database | GGA-PBE | relaxed; V = 26.53 Å³ per atom; formation energy = 0.32 eV per formula unit
1.0
8.061 -0.053 0.000
-7.122 3.775 0.000
0.000 0.000 3.531
Hg As
2 2
Direct
0.684 0.316 0.750 Hg
0.316 0.684 0.250 Hg
0.948 0.052 0.750 As
0.052 0.948 0.250 As